Entry 1:
First-principles (GGA-PBE) data for crystalline Ce7As2Pb2 at its relaxed geometry, as listed in Alexandria.

Geometry as extended XYZ:
```
11
Lattice="4.260 -5.871 0.000 4.260 5.871 0.000 0.000 0.000 6.702" Properties=species:S:1:pos:R:3 pbc="T T T"
Ce 0.000 0.000 0.000
Ce 2.130 2.935 1.978
Ce 2.130 2.935 4.724
Ce 2.130 -2.935 1.978
Ce 2.130 -2.935 4.724
Ce 4.260 0.000 1.387
Ce 4.260 0.000 5.315
As 4.260 2.806 0.000
As 4.260 -2.806 0.000
Pb 1.567 0.000 3.351
Pb 6.952 0.000 3.351
```

total magnetic moment = 8.108 μB per cell
ΔH_f (0 K) = -0.45 eV per atom

---

Entry 2:
First-principles (GGA-PBE) data for crystalline CeAs2Pb at its relaxed geometry, as listed in Alexandria.

Geometry as extended XYZ:
```
12
Lattice="4.313 0.000 0.000 -2.156 3.735 0.000 0.000 0.000 21.163" Properties=species:S:1:pos:R:3 pbc="T T T"
Ce 0.000 0.000 0.000
Ce 0.000 2.490 14.109
Ce 2.156 1.245 7.054
As 0.000 0.000 8.522
As 0.000 0.000 12.474
As 0.000 2.490 1.468
As 0.000 2.490 5.420
As 2.156 1.245 15.577
As 2.156 1.245 19.529
Pb 0.000 0.000 3.654
Pb 0.000 2.490 17.763
Pb 2.156 1.245 10.709
```

total magnetic moment = 0.498 μB per cell
polymorph energy (0 for the lowest one) = 0.00 eV/f.u.
ΔH_f (0 K) = -0.65 eV per atom

---

Entry 3:
First-principles (GGA-PBE) data for crystalline Ce2AsPb at its relaxed geometry, as listed in Alexandria.

Geometry as extended XYZ:
```
12
Lattice="4.244 0.000 0.000 -2.122 3.675 0.000 0.000 0.000 23.044" Properties=species:S:1:pos:R:3 pbc="T T T"
Ce 0.000 0.000 5.529
Ce 0.000 0.000 17.515
Ce 0.000 2.450 9.833
Ce 0.000 2.450 20.892
Ce 2.122 1.225 2.152
Ce 2.122 1.225 13.211
As 0.000 0.000 11.522
As 0.000 2.450 3.841
As 2.122 1.225 19.203
Pb 0.000 0.000 0.000
Pb 0.000 2.450 15.363
Pb 2.122 1.225 7.681
```

total magnetic moment = 5.294 μB per cell
polymorph energy (0 for the lowest one) = 0.00 eV/f.u.
ΔH_f (0 K) = -0.84 eV per atom

---

Entry 4:
First-principles (GGA-PBE) data for crystalline CeAs2Pb at its relaxed geometry, as listed in Alexandria.

Geometry as extended XYZ:
```
12
Lattice="3.210 0.000 0.000 -1.605 2.780 0.000 0.000 0.000 34.727" Properties=species:S:1:pos:R:3 pbc="T T T"
Ce 0.000 0.000 0.000
Ce 0.000 1.853 23.151
Ce 1.605 0.927 11.576
As 0.000 0.000 2.940
As 0.000 0.000 31.786
As 0.000 1.853 20.211
As 0.000 1.853 26.091
As 1.605 0.927 8.635
As 1.605 0.927 14.516
Pb 0.000 0.000 17.363
Pb 0.000 1.853 5.788
Pb 1.605 0.927 28.939
```

total magnetic moment = 2.227 μB per cell
polymorph energy (0 for the lowest one) = 3.74 eV/f.u.
ΔH_f (0 K) = 0.29 eV per atom

---

Entry 5:
First-principles (GGA-PBE) data for crystalline Ce3AsPb at its relaxed geometry, as listed in Alexandria.

Geometry as extended XYZ:
```
10
Lattice="5.969 0.000 0.000 -2.325 6.367 0.000 -0.406 -3.344 7.796" Properties=species:S:1:pos:R:3 pbc="T T T"
Ce 0.135 0.694 2.049
Ce 0.164 -0.506 4.561
Ce 0.403 4.521 0.488
Ce 2.835 -1.498 7.308
Ce 3.074 3.529 3.234
Ce 3.103 2.329 5.747
As -0.155 -1.514 7.228
As 3.393 4.537 0.568
Pb 0.106 2.933 4.611
Pb 3.132 0.090 3.185
```

total magnetic moment = 5.960 μB per cell
ΔH_f (0 K) = -0.61 eV per atom

---

Entry 6:
First-principles (GGA-PBE) data for crystalline CeAs2Pb at its relaxed geometry, as listed in Alexandria.

Geometry as extended XYZ:
```
4
Lattice="4.891 0.000 0.000 0.000 4.891 0.000 0.000 0.000 3.938" Properties=species:S:1:pos:R:3 pbc="T T T"
Ce 0.000 0.000 0.000
As 0.000 2.445 1.969
As 2.445 0.000 1.969
Pb 2.445 2.445 0.000
```

total magnetic moment = 0.107 μB per cell
polymorph energy (0 for the lowest one) = 0.01 eV/f.u.
ΔH_f (0 K) = -0.65 eV per atom